Here is a relaxed structure of CsAlAg from OQMD. Energies are from PBE.

The structure in CIF format:
```
data_CsAlAg
_chemical_formula_sum 'Cs4 Al4 Ag4'
_cell_length_a 7.706
_cell_length_b 7.706
_cell_length_c 7.706
_cell_angle_alpha 90.00
_cell_angle_beta 90.00
_cell_angle_gamma 90.00
_space_group_name_H-M_alt 'F -4 3 m'
_space_group_IT_number 216
_space_group_name_Hall 'F -4 2 3'
loop_
_atom_site_label
_atom_site_fract_x
_atom_site_fract_y
_atom_site_fract_z
Cs1 0.000 0.000 0.000
Al1 0.250 0.250 0.750
Ag1 0.000 0.000 0.500
```

Results
- energy relative to the lowest polymorph listed for this composition (kJ per mole of atoms) = 4.6
- uncorrected energy (eV/atom) = -1.814


Here is a relaxed structure of CsAlAg from OQMD. Energies are from PBE.

The structure in CIF format:
```
data_CsAlAg
_chemical_formula_sum 'Cs4 Al4 Ag4'
_cell_length_a 8.201
_cell_length_b 8.201
_cell_length_c 8.201
_cell_angle_alpha 90.00
_cell_angle_beta 90.00
_cell_angle_gamma 90.00
_space_group_name_H-M_alt 'F -4 3 m'
_space_group_IT_number 216
_space_group_name_Hall 'F -4 2 3'
loop_
_atom_site_label
_atom_site_fract_x
_atom_site_fract_y
_atom_site_fract_z
Cs1 0.000 0.000 0.000
Al1 0.250 0.250 0.250
Ag1 0.250 0.250 0.750
```

Results
- energy relative to the lowest polymorph listed for this composition (kJ per mole of atoms) = 34.0
- uncorrected energy (eV/atom) = -1.509


Here is a relaxed structure of CsAlAg from OQMD. Energies are from PBE.

The structure in CIF format:
```
data_CsAlAg
_chemical_formula_sum 'Cs4 Al4 Ag4'
_cell_length_a 7.738
_cell_length_b 7.738
_cell_length_c 7.738
_cell_angle_alpha 90.00
_cell_angle_beta 90.00
_cell_angle_gamma 90.00
_space_group_name_H-M_alt 'F -4 3 m'
_space_group_IT_number 216
_space_group_name_Hall 'F -4 2 3'
loop_
_atom_site_label
_atom_site_fract_x
_atom_site_fract_y
_atom_site_fract_z
Cs1 0.000 0.000 0.000
Al1 0.000 0.000 0.500
Ag1 0.250 0.250 0.750
```

Results
- energy relative to the lowest polymorph listed for this composition (kJ per mole of atoms) = 0.0
- uncorrected energy (eV/atom) = -1.862


Here is a relaxed structure of AlCu2Ag from OQMD. Energies are from PBE.

The structure in CIF format:
```
data_AlCu2Ag
_chemical_formula_sum 'Al4 Cu8 Ag4'
_cell_length_a 6.048
_cell_length_b 6.048
_cell_length_c 6.048
_cell_angle_alpha 90.00
_cell_angle_beta 90.00
_cell_angle_gamma 90.00
_space_group_name_H-M_alt 'F -4 3 m'
_space_group_IT_number 216
_space_group_name_Hall 'F -4 2 3'
loop_
_atom_site_label
_atom_site_fract_x
_atom_site_fract_y
_atom_site_fract_z
Al1 0.000 0.000 0.000
Cu1 0.000 0.000 0.500
Cu2 0.250 0.250 0.750
Ag1 0.250 0.250 0.250
```

Results
- uncorrected energy (eV/atom) = -3.556


Here is a relaxed structure of Al2CuAg from OQMD. Energies are from PBE.

The structure in CIF format:
```
data_Al2CuAg
_chemical_formula_sum 'Al8 Cu4 Ag4'
_cell_length_a 6.314
_cell_length_b 6.314
_cell_length_c 6.314
_cell_angle_alpha 90.00
_cell_angle_beta 90.00
_cell_angle_gamma 90.00
_space_group_name_H-M_alt 'F -4 3 m'
_space_group_IT_number 216
_space_group_name_Hall 'F -4 2 3'
loop_
_atom_site_label
_atom_site_fract_x
_atom_site_fract_y
_atom_site_fract_z
Al1 0.000 0.000 0.000
Al2 0.250 0.250 0.250
Cu1 0.250 0.250 0.750
Ag1 0.000 0.000 0.500
```

Results
- uncorrected energy (eV/atom) = -3.417


Here is a relaxed structure of AlCuAg from OQMD. Energies are from PBE.

The structure in CIF format:
```
data_AlCuAg
_chemical_formula_sum 'Al4 Cu4 Ag4'
_cell_length_a 5.913
_cell_length_b 5.913
_cell_length_c 5.913
_cell_angle_alpha 90.00
_cell_angle_beta 90.00
_cell_angle_gamma 90.00
_space_group_name_H-M_alt 'F -4 3 m'
_space_group_IT_number 216
_space_group_name_Hall 'F -4 2 3'
loop_
_atom_site_label
_atom_site_fract_x
_atom_site_fract_y
_atom_site_fract_z
Al1 0.000 0.000 0.000
Cu1 0.250 0.250 0.750
Ag1 0.000 0.000 0.500
```

Results
- energy relative to the lowest polymorph listed for this composition (kJ per mole of atoms) = 0.0
- uncorrected energy (eV/atom) = -3.329